CoIr2Pt: optimized geometry, GGA-PBEsol.

Cell lengths 2.691, 2.691, 7.423 Å; angles 90.00, 90.00, 90.00 degrees
Site moments in Bohr magnetons follow the coordinates.
Atoms (fractional coordinates):
Co 0.500 0.500 0.756  1.46
Ir 0.000 0.000 0.989  0.05
Ir 0.500 0.500 0.242  -0.17
Pt 0.000 0.000 0.513  0.09

Offset from the most stable computed form: 0.0 meV/atom
DFT total energy: -34.28 eV/cell
SG: P4mm, No. 99
ΔH_f (0 K): 0.017 eV per atom
Total moment: 1.43 μB/cell

***

Ca2SiSe: optimized geometry, GGA-PBEsol.

Cell lengths 3.533, 5.119, 5.119 Å; angles 99.24, 90.00, 90.00 degrees
Atoms (fractional coordinates):
Se 0.500 0.500 0.500
Ca 0.000 0.000 0.500
Ca 0.000 0.500 0.000
Si 0.500 0.000 0.000

Offset from the most stable computed form: 11.6 meV/atom
DFT total energy: -17.33 eV/cell
SG: Cmmm, No. 65
Total moment: 0.00 μB/cell
Formation energy (no corrections): -0.87 eV per atom

***

CoSbPbI2: optimized geometry, GGA-PBEsol.

Cell lengths 4.864, 5.247, 5.247 Å; angles 90.00, 90.00, 90.00 degrees
Atoms (fractional coordinates):
I 0.000 0.000 0.500
I 0.000 0.500 0.000
Sb 0.500 0.000 0.000
Co 0.000 0.000 0.000
Pb 0.500 0.500 0.500

DFT total energy: -18.79 eV/cell
SG: P4/mmm, No. 123
Total moment: 0.01 μB/cell
Formation energy (no corrections): 0.21 eV per atom

***

TaCrW2: optimized geometry, GGA-PBEsol.

Cell lengths 4.402, 4.402, 4.402 Å; angles 60.00, 60.00, 60.00 degrees
Atoms (fractional coordinates):
W 0.000 0.000 0.000
W 0.750 0.750 0.750
Ta 0.250 0.250 0.250
Cr 0.500 0.500 0.500

Offset from the most stable computed form: 7.3 meV/atom
DFT total energy: -50.47 eV/cell
SG: F-43m, No. 216
ΔH_f (0 K): -0.015 eV per atom
Total moment: 0.00 μB/cell

***

BeAl2W: optimized geometry, GGA-PBEsol.

Cell lengths 3.606, 3.606, 4.809 Å; angles 112.02, 112.02, 90.00 degrees
Atoms (fractional coordinates):
Al 0.250 0.750 0.500
Al 0.750 0.250 0.500
W 0.000 0.000 0.000
Be 0.500 0.500 0.000

DFT total energy: -26.54 eV/cell
SG: I4/mmm, No. 139
ΔH_f (0 K): -0.137 eV per atom
Total moment: 0.00 μB/cell

***

Re2MoCl: optimized geometry, GGA-PBEsol.

Cell lengths 4.389, 4.389, 4.389 Å; angles 60.00, 60.00, 60.00 degrees
Atoms (fractional coordinates):
Re 0.250 0.250 0.250
Re 0.750 0.750 0.750
Cl 0.000 0.000 0.000
Mo 0.500 0.500 0.500

Offset from the most stable computed form: 594.4 meV/atom
DFT total energy: -35.92 eV/cell
SG: Fm-3m, No. 225
Total moment: 0.00 μB/cell
Formation energy (no corrections): 1.13 eV per atom

***

LuAl3Pb2O8: optimized geometry, GGA-PBEsol.

Cell lengths 9.378, 9.378, 9.378 Å; angles 90.00, 90.00, 90.00 degrees
Atoms (fractional coordinates):
O 0.838 0.162 0.484
O 0.662 0.338 0.016
O 0.484 0.162 0.838
O 0.662 0.016 0.338
O 0.838 0.838 0.516
O 0.115 0.885 0.115
O 0.662 0.662 0.984
O 0.162 0.516 0.162
O 0.115 0.115 0.885
O 0.516 0.162 0.162
O 0.984 0.338 0.338
O 0.615 0.385 0.385
O 0.162 0.838 0.484
O 0.338 0.016 0.662
O 0.885 0.885 0.885
O 0.838 0.516 0.838
O 0.338 0.338 0.984
O 0.162 0.162 0.516
O 0.385 0.615 0.385
O 0.016 0.662 0.338
O 0.885 0.115 0.115
O 0.484 0.838 0.162
O 0.016 0.338 0.662
O 0.516 0.838 0.838
O 0.338 0.984 0.338
O 0.838 0.484 0.162
O 0.662 0.984 0.662
O 0.615 0.615 0.615
O 0.385 0.385 0.615
O 0.984 0.662 0.662
O 0.162 0.484 0.838
O 0.338 0.662 0.016
Al 0.000 0.250 0.500
Al 0.500 0.000 0.750
Al 0.000 0.500 0.250
Al 0.500 0.000 0.250
Al 0.750 0.500 0.000
Al 0.250 0.000 0.500
Al 0.500 0.250 0.000
Al 0.750 0.000 0.500
Al 0.250 0.500 0.000
Al 0.500 0.750 0.000
Al 0.000 0.750 0.500
Al 0.000 0.500 0.750
Pb 0.365 0.635 0.635
Pb 0.865 0.135 0.865
Pb 0.135 0.135 0.135
Pb 0.865 0.865 0.135
Pb 0.135 0.865 0.865
Pb 0.365 0.365 0.365
Pb 0.635 0.635 0.365
Pb 0.635 0.365 0.635
Lu 0.750 0.750 0.750
Lu 0.250 0.750 0.250
Lu 0.250 0.250 0.750
Lu 0.750 0.250 0.250

DFT total energy: -412.36 eV/cell
SG: Pn-3m, No. 224
Total moment: 0.00 μB/cell
Formation energy (no corrections): -2.57 eV per atom

***

Li2AlMo: optimized geometry, GGA-PBEsol.

Cell lengths 2.658, 2.658, 8.924 Å; angles 90.00, 90.00, 90.00 degrees
Atoms (fractional coordinates):
Li 0.000 0.000 0.980
Li 0.500 0.500 0.265
Mo 0.000 0.000 0.515
Al 0.500 0.500 0.741

DFT total energy: -19.58 eV/cell
SG: P4mm, No. 99
ΔH_f (0 K): 0.052 eV per atom
Total moment: 0.00 μB/cell